(1)
First-principles (PBE) data for a relaxed BaRu3I crystal, as listed in Alexandria.

Properties
relative energy among the computed polymorphs = 0 meV per atom
symmetry = Pm-3m
E_form (uncorrected) = 5.85 eV per formula unit

extended XYZ file:
```
5
Lattice="4.945 0.000 0.000 0.000 4.945 0.000 0.000 0.000 4.945" Properties=species:S:1:pos:R:3 pbc="T T T"
Ba 0.000 0.000 0.000
Ru 0.000 2.473 2.473
Ru 2.473 0.000 2.473
Ru 2.473 2.473 0.000
I 2.473 2.473 2.473
```

---

(2)
First-principles (PBE) data for a relaxed Cd5Hg3N2 crystal, as listed in Alexandria.

Properties
symmetry = P-1
E_form (uncorrected) = 3.67 eV per formula unit

extended XYZ file:
```
20
Lattice="6.089 0.000 0.000 0.007 6.175 0.000 2.295 2.711 12.851" Properties=species:S:1:pos:R:3 pbc="T T T"
Cd 1.363 3.434 5.205
Cd 2.003 6.586 5.131
Cd 3.816 5.799 12.665
Cd 3.817 2.709 12.654
Cd 3.982 6.515 7.665
Cd 4.410 2.371 5.186
Cd 4.575 6.177 0.197
Cd 4.576 3.086 0.186
Cd 6.389 2.299 7.720
Cd 7.029 5.452 7.646
Hg 2.081 7.294 9.851
Hg 3.354 3.492 7.930
Hg 2.646 4.607 2.944
Hg 5.746 4.278 9.907
Hg 5.038 5.393 4.921
Hg 6.311 1.592 3.000
N 2.270 7.348 11.999
N 3.029 4.629 0.829
N 5.363 4.257 12.022
N 6.122 1.538 0.852
```

---

(3)
First-principles (PBE) data for a relaxed Al2CdSe crystal, as listed in Alexandria.

Properties
relative energy among the computed polymorphs = 259 meV per atom
symmetry = P4/mmm
E_form (uncorrected) = 0.51 eV per formula unit

extended XYZ file:
```
4
Lattice="4.823 0.000 0.000 0.000 4.823 0.000 0.000 0.000 3.542" Properties=species:S:1:pos:R:3 pbc="T T T"
Al 0.000 2.412 0.000
Al 2.412 0.000 0.000
Cd 0.000 0.000 1.771
Se 2.412 2.412 1.771
```

---

(4)
First-principles (PBE) data for a relaxed YFe2Se crystal, as listed in Alexandria.

Properties
symmetry = F-43m
E_form (uncorrected) = 0.25 eV per formula unit

extended XYZ file:
```
16
Lattice="6.554 0.000 0.000 0.000 6.554 0.000 0.000 0.000 6.554" Properties=species:S:1:pos:R:3 pbc="T T T"
Y 0.000 0.000 0.000
Y 0.000 3.277 3.277
Y 3.277 0.000 3.277
Y 3.277 3.277 0.000
Fe 0.000 0.000 3.277
Fe 0.000 3.277 0.000
Fe 1.639 1.639 1.639
Fe 1.639 4.916 4.916
Fe 3.277 0.000 0.000
Fe 3.277 3.277 3.277
Fe 4.916 1.639 4.916
Fe 4.916 4.916 1.639
Se 1.639 1.639 4.916
Se 1.639 4.916 1.639
Se 4.916 1.639 1.639
Se 4.916 4.916 4.916
```

---

(5)
First-principles (PBE) data for a relaxed ZrAs2Pb crystal, as listed in Alexandria.

Properties
symmetry = I4/mmm
DFT formation energy = -51 meV/atom

extended XYZ file:
```
8
Lattice="4.342 0.000 0.000 0.000 4.342 0.000 0.000 0.000 9.248" Properties=species:S:1:pos:R:3 pbc="T T T"
Zr 0.000 0.000 0.000
Zr 2.171 2.171 4.624
As 0.000 2.171 2.312
As 0.000 2.171 6.936
As 2.171 0.000 2.312
As 2.171 0.000 6.936
Pb 0.000 0.000 4.624
Pb 2.171 2.171 0.000
```

---

(6)
First-principles (PBE) data for a relaxed Y6Co2Pd crystal, as listed in Alexandria.

Properties
symmetry = Immm
DFT formation energy = -308 meV/atom

extended XYZ file:
```
18
Lattice="-4.719 4.723 4.862 4.719 -4.723 4.862 4.719 4.723 -4.862" Properties=species:S:1:pos:R:3 pbc="T T T"
Y 4.719 -2.975 3.171
Y 2.924 0.000 2.357
Y 6.513 0.000 2.357
Y 3.026 2.604 0.000
Y 6.411 2.604 0.000
Y 0.000 1.748 1.691
Y 4.719 2.975 3.171
Y -1.692 2.118 4.862
Y 1.692 2.118 4.862
Y -1.795 4.723 2.505
Y 1.795 4.723 2.505
Y 0.000 7.697 1.691
Co 1.552 0.000 0.000
Co 7.885 0.000 0.000
Co 0.000 0.000 3.757
Co 0.000 0.000 5.968
Pd 4.719 0.000 0.000
Pd 0.000 4.723 0.000
```

---

(7)
First-principles (PBE) data for a relaxed La2DyTm5Sc crystal, as listed in Alexandria.

Properties
symmetry = Cmc2_1
DFT formation energy = 156 meV/atom

extended XYZ file:
```
18
Lattice="2.775 -9.843 0.000 2.775 9.843 0.000 0.000 0.000 10.440" Properties=species:S:1:pos:R:3 pbc="T T T"
La 2.775 7.604 5.220
La 2.775 7.574 9.602
La 2.775 -7.574 4.383
La 2.775 -7.604 0.000
Dy 2.775 1.756 6.760
Dy 2.775 -1.756 1.540
Tm 2.775 9.529 2.149
Tm 2.775 4.388 5.260
Tm 2.775 3.983 9.268
Tm 2.775 2.408 2.134
Tm 2.775 0.337 9.660
Tm 2.775 -0.337 4.440
Tm 2.775 -2.408 7.354
Tm 2.775 -3.983 4.048
Tm 2.775 -4.388 0.040
Tm 2.775 -9.529 7.368
Sc 2.775 5.942 2.079
Sc 2.775 -5.942 7.299
```

---

(8)
First-principles (PBE) data for a relaxed Ba2InPPb crystal, as listed in Alexandria.

Properties
symmetry = P2_1/m
DFT formation energy = -677 meV/atom

extended XYZ file:
```
10
Lattice="8.190 0.000 0.000 0.000 4.814 0.000 -2.973 0.000 9.748" Properties=species:S:1:pos:R:3 pbc="T T T"
Ba 0.374 1.203 3.786
Ba -1.038 1.203 9.511
Ba 6.255 3.610 0.237
Ba 4.843 3.610 5.962
In 3.173 3.610 2.594
In 2.044 1.203 7.155
P 0.821 3.610 1.687
P 4.397 1.203 8.061
Pb 0.411 3.610 6.781
Pb 4.806 1.203 2.967
```

---

| no. | M_tot (μB/f.u.) |
| --- | --- |
| 1 | 1.1 |
| 2 | 0.0 |
| 3 | 0.0 |
| 4 | 5.0 |
| 5 | 0.0 |
| 6 | 0.0 |
| 7 | 0.0 |
| 8 | 0.0 |